A relaxed structure of GeMo4Ir2, computed with PBE-GGA.

Calculated values
energy of formation = 7.79 eV per formula unit
total magnetization = 0.0 μB/f.u.
E_tot = -8.2673 eV/atom
density of states at the Fermi level = 11.5 states/eV/cell

CIF file:
```
data_GeMo4Ir2
_cell_length_a 4.531
_cell_length_b 4.531
_cell_length_c 12.719
_cell_angle_alpha 90.00
_cell_angle_beta 90.00
_cell_angle_gamma 90.00
_space_group_name_H-M_alt 'I 4/m m m'
_space_group_IT_number 139
_space_group_name_Hall '-I 4 2'
loop_
_atom_site_label
_atom_site_type_symbol
_atom_site_fract_x
_atom_site_fract_y
_atom_site_fract_z
_atom_site_occupancy
Ge1 Ge 0.000 0.000 0.000 1
Mo1 Mo 0.000 0.000 0.189 1
Mo2 Mo 0.000 0.500 0.000 1
Ir1 Ir 0.000 0.000 0.375 1
```